Sr2ZnPd (PBE-GGA, optimized geometry); raw total energy = -2.828 eV per atom; space-group type = P4/mmm (123); volume = 111 Å³ per cell; calculated formation energy = -0.37 eV per atom
1.0
3.826 0.000 0.000
0.000 3.826 0.000
0.000 0.000 7.575
Sr Zn Pd
2 1 1
Direct
0.000 0.000 0.239
0.000 0.000 0.761
0.500 0.500 0.500
0.500 0.500 0.000